[1]
Entry from the Alexandria database: a PBEsol-optimized structure of Zr2FeOs (meta-GGA SCAN).

```
data_Zr2FeOs
_chemical_formula_sum 'Zr8 Fe4 Os4'
_cell_length_a 6.364
_cell_length_b 6.364
_cell_length_c 6.364
_cell_angle_alpha 90.00
_cell_angle_beta 90.00
_cell_angle_gamma 90.00
_space_group_name_H-M_alt 'F -4 3 m'
_space_group_IT_number 216
_space_group_name_Hall 'F -4 2 3'
loop_
_atom_site_label
_atom_site_type_symbol
_atom_site_fract_x
_atom_site_fract_y
_atom_site_fract_z
Zr1 Zr 0.000 0.000 0.000
Zr2 Zr 0.250 0.250 0.250
Fe1 Fe 0.250 0.250 0.750
Os1 Os 0.000 0.000 0.500
```

Output
E_form, eV per atom: -0.137

***

[2]
Entry from the Alexandria database: a PBEsol-optimized structure of Sc3SbH (meta-GGA SCAN).

```
data_Sc3SbH
_chemical_formula_sum 'Sc3 Sb1 H1'
_cell_length_a 4.398
_cell_length_b 4.398
_cell_length_c 4.398
_cell_angle_alpha 90.00
_cell_angle_beta 90.00
_cell_angle_gamma 90.00
_space_group_name_H-M_alt 'P m -3 m'
_space_group_IT_number 221
_space_group_name_Hall '-P 4 2 3'
loop_
_atom_site_label
_atom_site_type_symbol
_atom_site_fract_x
_atom_site_fract_y
_atom_site_fract_z
Sc1 Sc 0.000 0.000 0.500
Sb1 Sb 0.500 0.500 0.500
H1 H 0.000 0.000 0.000
```

Output
VASP energy, eV per formula unit: -86.3

***

[3]
Entry from the Alexandria database: a PBEsol-optimized structure of AlOsBr (meta-GGA SCAN).

```
data_AlOsBr
_chemical_formula_sum 'Al1 Os1 Br1'
_cell_length_a 3.0508
_cell_length_b 3.0508
_cell_length_c 6.3456
_cell_angle_alpha 90.00
_cell_angle_beta 90.00
_cell_angle_gamma 120.00
_space_group_name_H-M_alt 'P 3 m 1'
_space_group_IT_number 156
loop_
_space_group_symop_operation_xyz
'x,y,z'
'-y,x-y,z'
'-x+y,-x,z'
'-y,-x,z'
'-x+y,y,z'
'x,x-y,z'
loop_
_atom_site_label
_atom_site_type_symbol
_atom_site_fract_x
_atom_site_fract_y
_atom_site_fract_z
Al1 Al 0.0000 0.0000 0.0000
Os1 Os 0.6667 0.3333 0.2725
Br1 Br 0.3333 0.6667 0.7007
```

Output
Formation energy from raw total energies, meV per atom: 338.7

***

[4]
Entry from the Alexandria database: a PBEsol-optimized structure of SiP2SCl (meta-GGA SCAN).

```
data_SiP2SCl
_chemical_formula_sum 'Si1 P2 S1 Cl1'
_cell_length_a 4.543
_cell_length_b 4.543
_cell_length_c 4.508
_cell_angle_alpha 90.00
_cell_angle_beta 90.00
_cell_angle_gamma 90.00
_space_group_name_H-M_alt 'P 4/m m m'
_space_group_IT_number 123
_space_group_name_Hall '-P 4 2'
loop_
_atom_site_label
_atom_site_type_symbol
_atom_site_fract_x
_atom_site_fract_y
_atom_site_fract_z
Si1 Si 0.000 0.000 0.000
P1 P 0.000 0.500 0.500
S1 S 0.500 0.500 0.500
Cl1 Cl 0.500 0.500 0.000
```

Output
Formation energy from raw total energies, meV per atom: 1103.6

***

[5]
Entry from the Alexandria database: a PBEsol-optimized structure of NiPI3 (meta-GGA SCAN).

```
data_NiPI3
_chemical_formula_sum 'Ni1 P1 I3'
_cell_length_a 5.068
_cell_length_b 5.068
_cell_length_c 5.068
_cell_angle_alpha 90.00
_cell_angle_beta 90.00
_cell_angle_gamma 90.00
_space_group_name_H-M_alt 'P m -3 m'
_space_group_IT_number 221
_space_group_name_Hall '-P 4 2 3'
loop_
_atom_site_label
_atom_site_type_symbol
_atom_site_fract_x
_atom_site_fract_y
_atom_site_fract_z
Ni1 Ni 0.000 0.000 0.000
P1 P 0.500 0.500 0.500
I1 I 0.000 0.000 0.500
```

Output
Formation energy from raw total energies, meV per atom: 756.9

***

[6]
Entry from the Alexandria database: a PBEsol-optimized structure of Rb3AgSn3Se8 (meta-GGA SCAN).

```
data_Rb3AgSn3Se8
_chemical_formula_sum 'Rb6 Ag2 Sn6 Se16'
_cell_length_a 8.301
_cell_length_b 8.301
_cell_length_c 13.388
_cell_angle_alpha 90.00
_cell_angle_beta 90.00
_cell_angle_gamma 90.00
_space_group_name_H-M_alt 'P 4/n b m'
_space_group_IT_number 125
loop_
_space_group_symop_operation_xyz
'x,y,z'
'-x,-y,-z'
'-y+1/2,x,z'
'y+1/2,-x,-z'
'-x+1/2,-y+1/2,z'
'x+1/2,y+1/2,-z'
'y,-x+1/2,z'
'-y,x+1/2,-z'
'x,-y+1/2,-z'
'-x,y+1/2,z'
'-y+1/2,-x+1/2,-z'
'y+1/2,x+1/2,z'
'-x+1/2,y,-z'
'x+1/2,-y,z'
'y,x,-z'
'-y,-x,z'
loop_
_atom_site_label
_atom_site_type_symbol
_atom_site_fract_x
_atom_site_fract_y
_atom_site_fract_z
Rb1 Rb 0.250 0.250 0.000
Rb2 Rb 0.250 0.250 0.274
Ag1 Ag 0.250 0.750 0.000
Sn1 Sn 0.250 0.750 0.239
Sn2 Sn 0.250 0.750 0.500
Se1 Se 0.073 0.573 0.135
Se2 Se 0.086 0.586 0.626
```

Output
Formation energy from raw total energies, meV per atom: -747.8

***

Please write out number 6 again, unchanged.
Entry from the Alexandria database: a PBEsol-optimized structure of Rb3AgSn3Se8 (meta-GGA SCAN).

```
data_Rb3AgSn3Se8
_chemical_formula_sum 'Rb6 Ag2 Sn6 Se16'
_cell_length_a 8.301
_cell_length_b 8.301
_cell_length_c 13.388
_cell_angle_alpha 90.00
_cell_angle_beta 90.00
_cell_angle_gamma 90.00
_space_group_name_H-M_alt 'P 4/n b m'
_space_group_IT_number 125
loop_
_space_group_symop_operation_xyz
'x,y,z'
'-x,-y,-z'
'-y+1/2,x,z'
'y+1/2,-x,-z'
'-x+1/2,-y+1/2,z'
'x+1/2,y+1/2,-z'
'y,-x+1/2,z'
'-y,x+1/2,-z'
'x,-y+1/2,-z'
'-x,y+1/2,z'
'-y+1/2,-x+1/2,-z'
'y+1/2,x+1/2,z'
'-x+1/2,y,-z'
'x+1/2,-y,z'
'y,x,-z'
'-y,-x,z'
loop_
_atom_site_label
_atom_site_type_symbol
_atom_site_fract_x
_atom_site_fract_y
_atom_site_fract_z
Rb1 Rb 0.250 0.250 0.000
Rb2 Rb 0.250 0.250 0.274
Ag1 Ag 0.250 0.750 0.000
Sn1 Sn 0.250 0.750 0.239
Sn2 Sn 0.250 0.750 0.500
Se1 Se 0.073 0.573 0.135
Se2 Se 0.086 0.586 0.626
```

Output
Formation energy from raw total energies, meV per atom: -747.8